This record from Alexandria describes BaNaIn2Hg2 after structural relaxation. The functional is PBE.

Summary:
DFT total energy: -1.90 eV/atom

Lattice parameters (Å, degrees): 5.059 5.059 8.095 90.00 90.00 120.00
Element x y z (fractional)
Ba: 0.000 0.000 0.000
Na: 0.000 0.000 0.500
In: 0.667 0.333 0.694
In: 0.333 0.667 0.306
Hg: 0.667 0.333 0.289
Hg: 0.333 0.667 0.711